(1)
VASP calculation (GGA-PBE) on TbAs6Pd12 after structural relaxation.

```
data_TbAs6Pd12
_symmetry_space_group_name_H-M 'P 1'
_symmetry_Int_Tables_number 1
_cell_length_a 7.312
_cell_length_b 7.312
_cell_length_c 7.312
_cell_angle_alpha 105.43
_cell_angle_beta 105.43
_cell_angle_gamma 105.43
loop_
_symmetry_equiv_pos_as_xyz
'x,y,z'
loop_
_atom_site_label
_atom_site_fract_x
_atom_site_fract_y
_atom_site_fract_z
Tb1 0.000 0.000 0.000
As1 0.253 0.253 0.670
As2 0.253 0.670 0.253
As3 0.330 0.747 0.747
As4 0.670 0.253 0.253
As5 0.747 0.330 0.747
As6 0.747 0.747 0.330
Pd1 0.126 0.500 0.874
Pd2 0.126 0.874 0.500
Pd3 0.138 0.382 0.382
Pd4 0.382 0.138 0.382
Pd5 0.382 0.382 0.138
Pd6 0.500 0.126 0.874
Pd7 0.500 0.874 0.126
Pd8 0.618 0.618 0.862
Pd9 0.618 0.862 0.618
Pd10 0.862 0.618 0.618
Pd11 0.874 0.126 0.500
Pd12 0.874 0.500 0.126
```

Output
SG: No. 166
Formation enthalpy at 0 K, eV per atom: -0.35
Calculated total energy, eV per cell: -101.581

(2)
VASP calculation (GGA-PBE) on RbTcF3 after structural relaxation.

```
data_RbTcF3
_symmetry_space_group_name_H-M 'P 1'
_symmetry_Int_Tables_number 1
_cell_length_a 4.451
_cell_length_b 4.451
_cell_length_c 4.451
_cell_angle_alpha 90.00
_cell_angle_beta 90.00
_cell_angle_gamma 90.00
loop_
_symmetry_equiv_pos_as_xyz
'x,y,z'
loop_
_atom_site_label
_atom_site_fract_x
_atom_site_fract_y
_atom_site_fract_z
Rb1 0.000 0.000 0.000
Tc1 0.500 0.500 0.500
F1 0.000 0.500 0.500
F2 0.500 0.000 0.500
F3 0.500 0.500 0.000
```

Output
SG: No. 221
Calculated total energy, eV per cell: -25.683
Formation energy from raw total energies, eV per atom: -1.7471

(3)
VASP calculation (GGA-PBE) on Rb2ReHgB after structural relaxation.

```
data_Rb2ReHgB
_symmetry_space_group_name_H-M 'P 1'
_symmetry_Int_Tables_number 1
_cell_length_a 6.717
_cell_length_b 6.717
_cell_length_c 5.274
_cell_angle_alpha 90.00
_cell_angle_beta 90.00
_cell_angle_gamma 90.00
loop_
_symmetry_equiv_pos_as_xyz
'x,y,z'
loop_
_atom_site_label
_atom_site_fract_x
_atom_site_fract_y
_atom_site_fract_z
Rb1 0.000 0.500 0.000
Rb2 0.500 0.000 0.000
Re1 0.000 0.000 0.000
Hg1 0.000 0.000 0.500
B1 0.500 0.500 0.500
```

Output
SG: No. 123
Formation enthalpy at 0 K, eV per atom: 2.04
Calculated total energy, eV per cell: -11.170

(4)
VASP calculation (GGA-PBE) on Pr2Pa3Te8 after structural relaxation.

```
data_Pr2Pa3Te8
_symmetry_space_group_name_H-M 'P 1'
_symmetry_Int_Tables_number 1
_cell_length_a 9.099
_cell_length_b 9.099
_cell_length_c 7.333
_cell_angle_alpha 103.88
_cell_angle_beta 103.88
_cell_angle_gamma 56.57
loop_
_symmetry_equiv_pos_as_xyz
'x,y,z'
loop_
_atom_site_label
_atom_site_fract_x
_atom_site_fract_y
_atom_site_fract_z
Pr1 0.249 0.249 0.324
Pr2 0.751 0.751 0.676
Pa1 0.000 0.000 0.500
Pa2 0.235 0.765 0.000
Pa3 0.765 0.235 0.000
Te1 0.130 0.130 0.901
Te2 0.134 0.626 0.590
Te3 0.374 0.866 0.410
Te4 0.393 0.393 0.097
Te5 0.607 0.607 0.903
Te6 0.626 0.134 0.590
Te7 0.866 0.374 0.410
Te8 0.870 0.870 0.099
```

Output
SG: No. 12
Calculated total energy, eV per cell: -75.640
Formation energy from raw total energies, eV per atom: -0.9584

(5)
VASP calculation (GGA-PBE) on PbSN3 after structural relaxation.

```
data_PbSN3
_symmetry_space_group_name_H-M 'P 1'
_symmetry_Int_Tables_number 1
_cell_length_a 3.754
_cell_length_b 3.754
_cell_length_c 3.754
_cell_angle_alpha 90.00
_cell_angle_beta 90.00
_cell_angle_gamma 90.00
loop_
_symmetry_equiv_pos_as_xyz
'x,y,z'
loop_
_atom_site_label
_atom_site_fract_x
_atom_site_fract_y
_atom_site_fract_z
Pb1 0.000 0.000 0.000
S1 0.500 0.500 0.500
N1 0.000 0.500 0.500
N2 0.500 0.000 0.500
N3 0.500 0.500 0.000
```

Output
SG: No. 221
Calculated total energy, eV per cell: -24.521
Formation energy from raw total energies, eV per atom: 1.6582

(6)
VASP calculation (GGA-PBE) on AcThHg4 after structural relaxation.

```
data_AcThHg4
_symmetry_space_group_name_H-M 'P 1'
_symmetry_Int_Tables_number 1
_cell_length_a 4.606
_cell_length_b 4.623
_cell_length_c 9.246
_cell_angle_alpha 90.12
_cell_angle_beta 90.09
_cell_angle_gamma 90.01
loop_
_symmetry_equiv_pos_as_xyz
'x,y,z'
loop_
_atom_site_label
_atom_site_fract_x
_atom_site_fract_y
_atom_site_fract_z
Ac1 0.000 0.000 0.000
Th1 0.500 0.500 0.500
Hg1 0.001 0.499 0.736
Hg2 0.499 0.001 0.735
Hg3 0.501 0.999 0.265
Hg4 0.999 0.501 0.264
```

Output
SG: No. 2
Formation enthalpy at 0 K, eV per atom: -0.09
Calculated total energy, eV per cell: -13.265

(7)
VASP calculation (GGA-PBE) on LiFe2Hg after structural relaxation.

```
data_LiFe2Hg
_symmetry_space_group_name_H-M 'P 1'
_symmetry_Int_Tables_number 1
_cell_length_a 4.311
_cell_length_b 4.311
_cell_length_c 4.311
_cell_angle_alpha 119.70
_cell_angle_beta 119.70
_cell_angle_gamma 90.52
loop_
_symmetry_equiv_pos_as_xyz
'x,y,z'
loop_
_atom_site_label
_atom_site_fract_x
_atom_site_fract_y
_atom_site_fract_z
Li1 0.000 0.000 0.000
Fe1 0.500 0.500 0.000
Fe2 0.750 0.250 0.500
Hg1 0.250 0.750 0.500
```

Output
SG: No. 119
Formation enthalpy at 0 K, eV per atom: 0.25
Calculated total energy, eV per cell: -18.132

(8)
VASP calculation (GGA-PBE) on Co15Ni2Ir2 after structural relaxation.

```
data_Co15Ni2Ir2
_symmetry_space_group_name_H-M 'P 1'
_symmetry_Int_Tables_number 1
_cell_length_a 6.219
_cell_length_b 6.219
_cell_length_c 6.219
_cell_angle_alpha 81.04
_cell_angle_beta 81.04
_cell_angle_gamma 81.04
loop_
_symmetry_equiv_pos_as_xyz
'x,y,z'
loop_
_atom_site_label
_atom_site_fract_x
_atom_site_fract_y
_atom_site_fract_z
Co1 0.000 0.000 0.500
Co2 0.000 0.308 0.692
Co3 0.000 0.500 0.000
Co4 0.000 0.692 0.308
Co5 0.157 0.644 0.644
Co6 0.308 0.000 0.692
Co7 0.308 0.692 0.000
Co8 0.356 0.356 0.843
Co9 0.356 0.843 0.356
Co10 0.500 0.000 0.000
Co11 0.644 0.157 0.644
Co12 0.644 0.644 0.157
Co13 0.692 0.000 0.308
Co14 0.692 0.308 0.000
Co15 0.843 0.356 0.356
Ni1 0.320 0.320 0.320
Ni2 0.680 0.680 0.680
Ir1 0.101 0.101 0.101
Ir2 0.899 0.899 0.899
```

Output
SG: No. 166
Formation enthalpy at 0 K, eV per atom: 0.24
Calculated total energy, eV per cell: -131.399

(9)
VASP calculation (GGA-PBE) on DySi3Pt5 after structural relaxation.

```
data_DySi3Pt5
_symmetry_space_group_name_H-M 'P 1'
_symmetry_Int_Tables_number 1
_cell_length_a 6.537
_cell_length_b 6.537
_cell_length_c 12.951
_cell_angle_alpha 90.00
_cell_angle_beta 90.00
_cell_angle_gamma 145.80
loop_
_symmetry_equiv_pos_as_xyz
'x,y,z'
loop_
_atom_site_label
_atom_site_fract_x
_atom_site_fract_y
_atom_site_fract_z
Dy1 0.154 0.846 0.750
Dy2 0.846 0.154 0.250
Si1 0.112 0.888 0.250
Si2 0.382 0.618 0.035
Si3 0.382 0.618 0.465
Si4 0.618 0.382 0.535
Si5 0.618 0.382 0.965
Si6 0.888 0.112 0.750
Pt1 0.000 0.000 0.000
Pt2 0.000 0.000 0.500
Pt3 0.207 0.793 0.087
Pt4 0.207 0.793 0.413
Pt5 0.462 0.538 0.648
Pt6 0.462 0.538 0.852
Pt7 0.538 0.462 0.148
Pt8 0.538 0.462 0.352
Pt9 0.793 0.207 0.587
Pt10 0.793 0.207 0.913
```

Output
SG: No. 63
Calculated total energy, eV per cell: -117.003
Formation energy from raw total energies, eV per atom: -0.8251

(10)
VASP calculation (GGA-PBE) on NaCd2Cu2 after structural relaxation.

```
data_NaCd2Cu2
_symmetry_space_group_name_H-M 'P 1'
_symmetry_Int_Tables_number 1
_cell_length_a 7.326
_cell_length_b 7.326
_cell_length_c 7.326
_cell_angle_alpha 149.78
_cell_angle_beta 149.78
_cell_angle_gamma 43.27
loop_
_symmetry_equiv_pos_as_xyz
'x,y,z'
loop_
_atom_site_label
_atom_site_fract_x
_atom_site_fract_y
_atom_site_fract_z
Na1 0.000 0.000 0.000
Cd1 0.390 0.390 0.000
Cd2 0.610 0.610 0.000
Cu1 0.250 0.750 0.500
Cu2 0.750 0.250 0.500
```

Output
SG: No. 139
Formation enthalpy at 0 K, eV per atom: 0.13
Calculated total energy, eV per cell: -10.703

(11)
VASP calculation (GGA-PBE) on HfMg4In7 after structural relaxation.

```
data_HfMg4In7
_symmetry_space_group_name_H-M 'P 1'
_symmetry_Int_Tables_number 1
_cell_length_a 3.330
_cell_length_b 3.330
_cell_length_c 29.871
_cell_angle_alpha 90.00
_cell_angle_beta 90.00
_cell_angle_gamma 120.00
loop_
_symmetry_equiv_pos_as_xyz
'x,y,z'
loop_
_atom_site_label
_atom_site_fract_x
_atom_site_fract_y
_atom_site_fract_z
Hf1 0.000 0.000 0.000
Mg1 0.333 0.667 0.163
Mg2 0.333 0.667 0.419
Mg3 0.667 0.333 0.581
Mg4 0.667 0.333 0.837
In1 0.000 0.000 0.246
In2 0.000 0.000 0.500
In3 0.000 0.000 0.754
In4 0.333 0.667 0.665
In5 0.333 0.667 0.918
In6 0.667 0.333 0.082
In7 0.667 0.333 0.335
```

Output
SG: No. 164
Formation enthalpy at 0 K, eV per atom: -0.05
Calculated total energy, eV per cell: -36.044

(12)
VASP calculation (GGA-PBE) on Pm2BePt6Au after structural relaxation.

```
data_Pm2BePt6Au
_symmetry_space_group_name_H-M 'P 1'
_symmetry_Int_Tables_number 1
_cell_length_a 5.425
_cell_length_b 6.342
_cell_length_c 6.872
_cell_angle_alpha 78.40
_cell_angle_beta 66.79
_cell_angle_gamma 64.90
loop_
_symmetry_equiv_pos_as_xyz
'x,y,z'
loop_
_atom_site_label
_atom_site_fract_x
_atom_site_fract_y
_atom_site_fract_z
Pm1 0.230 0.236 0.302
Pm2 0.770 0.764 0.698
Be1 0.000 0.000 0.000
Pt1 0.236 0.790 0.234
Pt2 0.246 0.594 0.916
Pt3 0.262 0.208 0.767
Pt4 0.738 0.792 0.233
Pt5 0.754 0.406 0.084
Pt6 0.764 0.210 0.766
Au1 0.500 0.500 0.500
```

Output
SG: No. 2
Formation enthalpy at 0 K, eV per atom: -0.69
Calculated total energy, eV per cell: -59.675

(13)
VASP calculation (GGA-PBE) on Re2MoPdN after structural relaxation.

```
data_Re2MoPdN
_symmetry_space_group_name_H-M 'P 1'
_symmetry_Int_Tables_number 1
_cell_length_a 4.679
_cell_length_b 4.679
_cell_length_c 4.779
_cell_angle_alpha 90.00
_cell_angle_beta 90.00
_cell_angle_gamma 90.00
loop_
_symmetry_equiv_pos_as_xyz
'x,y,z'
loop_
_atom_site_label
_atom_site_fract_x
_atom_site_fract_y
_atom_site_fract_z
Re1 0.000 0.500 0.000
Re2 0.500 0.000 0.000
Mo1 0.000 0.000 0.000
Pd1 0.000 0.000 0.500
N1 0.500 0.500 0.500
```

Output
SG: No. 123
Calculated total energy, eV per cell: -33.620
Formation energy from raw total energies, eV per atom: 3.1252

(14)
VASP calculation (GGA-PBE) on Tb4AgIr3 after structural relaxation.

```
data_Tb4AgIr3
_symmetry_space_group_name_H-M 'P 1'
_symmetry_Int_Tables_number 1
_cell_length_a 8.556
_cell_length_b 8.556
_cell_length_c 8.556
_cell_angle_alpha 33.46
_cell_angle_beta 33.46
_cell_angle_gamma 33.46
loop_
_symmetry_equiv_pos_as_xyz
'x,y,z'
loop_
_atom_site_label
_atom_site_fract_x
_atom_site_fract_y
_atom_site_fract_z
Tb1 0.121 0.121 0.121
Tb2 0.372 0.372 0.372
Tb3 0.628 0.628 0.628
Tb4 0.879 0.879 0.879
Ag1 0.500 0.500 0.500
Ir1 0.000 0.000 0.000
Ir2 0.249 0.249 0.249
Ir3 0.751 0.751 0.751
```

Output
SG: No. 166
Formation enthalpy at 0 K, eV per atom: -0.71
Calculated total energy, eV per cell: -53.613